No. 1
The following is a DFT calculation (PBE) of an optimized crystal structure of MnSbP3.

Computed properties:
ΔE_f (raw) ... 454 meV per atom
Total magnetic moment ... 0.00 μB per cell
Energy ... -27.25 eV for the cell shown
Theoretical density ... 5.06 Mg/m³
Space-group type ... Pm-3m (221)

Cell lengths 4.4552, 4.4552, 4.4552 Å; angles 90.00, 90.00, 90.00 degrees
Atoms (fractional coordinates):
1 Mn 0.0000 0.0000 0.0000
2 Sb 0.5000 0.5000 0.5000
3 P 0.0000 0.0000 0.5000
4 P 0.0000 0.5000 0.0000
5 P 0.5000 0.0000 0.0000

---

No. 2
The following is a DFT calculation (PBE) of an optimized crystal structure of Mn2SbP.

Computed properties:
ΔE_f (raw) ... -26 meV per atom
Total magnetic moment ... 6.69 μB per cell
Energy ... -55.95 eV for the cell shown
Theoretical density ... 6.75 Mg/m³
Space-group type ... Cm (8)

Cell lengths 7.5790, 3.1873, 5.4727 Å; angles 90.00, 102.03, 90.00 degrees
Atoms (fractional coordinates):
1 Mn 0.0000 0.0000 0.0000
2 Mn 0.2493 0.5000 0.3172
3 Mn 0.5000 0.5000 0.0000
4 Mn 0.7493 0.0000 0.3172
5 Sb 0.0063 0.5000 0.5978
6 Sb 0.5063 0.0000 0.5978
7 P 0.2982 0.0000 0.0476
8 P 0.7982 0.5000 0.0476

---

No. 3
The following is a DFT calculation (PBE) of an optimized crystal structure of Mn2SbP.

Computed properties:
ΔE_f (raw) ... 249 meV per atom
Total magnetic moment ... 16.73 μB per cell
Energy ... -80.63 eV for the cell shown
Theoretical density ... 6.29 Mg/m³
Space-group type ... R3m (160)

Cell lengths 3.1714, 3.1714, 23.8812 Å; angles 90.00, 90.00, 120.00 degrees
Atoms (fractional coordinates):
1 Mn 0.0000 0.0000 0.0000
2 Mn 0.0000 0.0000 0.2498
3 Mn 0.3333 0.6667 0.6667
4 Mn 0.3333 0.6667 0.9165
5 Mn 0.6667 0.3333 0.3333
6 Mn 0.6667 0.3333 0.5832
7 Sb 0.0000 0.0000 0.4925
8 Sb 0.3333 0.6667 0.1591
9 Sb 0.6667 0.3333 0.8258
10 P 0.0000 0.0000 0.7207
11 P 0.3333 0.6667 0.3874
12 P 0.6667 0.3333 0.0541

---

No. 4
The following is a DFT calculation (PBE) of an optimized crystal structure of Mn2SbP.

Computed properties:
ΔE_f (raw) ... 513 meV per atom
Total magnetic moment ... 23.47 μB per cell
Energy ... -103.28 eV for the cell shown
Theoretical density ... 6.73 Mg/m³
Space-group type ... F-43m (216)

Cell lengths 6.3743, 6.3743, 6.3743 Å; angles 90.00, 90.00, 90.00 degrees
Atoms (fractional coordinates):
1 Mn 0.0000 0.0000 0.0000
2 Mn 0.0000 0.5000 0.5000
3 Mn 0.2500 0.2500 0.2500
4 Mn 0.2500 0.7500 0.7500
5 Mn 0.5000 0.0000 0.5000
6 Mn 0.5000 0.5000 0.0000
7 Mn 0.7500 0.2500 0.7500
8 Mn 0.7500 0.7500 0.2500
9 Sb 0.0000 0.0000 0.5000
10 Sb 0.0000 0.5000 0.0000
11 Sb 0.5000 0.0000 0.0000
12 Sb 0.5000 0.5000 0.5000
13 P 0.2500 0.2500 0.7500
14 P 0.2500 0.7500 0.2500
15 P 0.7500 0.2500 0.2500
16 P 0.7500 0.7500 0.7500

---

No. 5
The following is a DFT calculation (PBE) of an optimized crystal structure of MnSb2TeP.

Computed properties:
ΔE_f (raw) ... 1255 meV per atom
Total magnetic moment ... 0.01 μB per cell
Energy ... -19.69 eV for the cell shown
Theoretical density ... 5.65 Mg/m³
Space-group type ... P4/mmm (123)

Cell lengths 5.0667, 5.0667, 5.2354 Å; angles 90.00, 90.00, 90.00 degrees
Atoms (fractional coordinates):
1 Mn 0.0000 0.0000 0.0000
2 Sb 0.0000 0.5000 0.5000
3 Sb 0.5000 0.0000 0.5000
4 Te 0.5000 0.5000 0.0000
5 P 0.5000 0.5000 0.5000

---

No. 6
The following is a DFT calculation (PBE) of an optimized crystal structure of MnSb2TeP.

Computed properties:
ΔE_f (raw) ... 648 meV per atom
Total magnetic moment ... 0.79 μB per cell
Energy ... -22.73 eV for the cell shown
Theoretical density ... 6.32 Mg/m³
Space-group type ... P4/mmm (123)

Cell lengths 4.9427, 4.9427, 4.9143 Å; angles 90.00, 90.00, 90.00 degrees
Atoms (fractional coordinates):
1 Mn 0.0000 0.0000 0.0000
2 Sb 0.0000 0.5000 0.0000
3 Sb 0.5000 0.0000 0.0000
4 Te 0.0000 0.0000 0.5000
5 P 0.5000 0.5000 0.5000

---

No. 7
The following is a DFT calculation (PBE) of an optimized crystal structure of ScMn2P.

Computed properties:
E_form ... -0.130 eV/atom
Total magnetic moment ... 0.00 μB per cell
Energy ... -122.40 eV for the cell shown
Theoretical density ... 5.15 Mg/m³
Space-group type ... I-42d (122)

Cell lengths 3.7790, 3.7790, 16.7734 Å; angles 90.00, 90.00, 90.00 degrees
Atoms (fractional coordinates):
1 Sc 0.0000 0.0000 0.0000
2 Sc 0.0000 0.5000 0.2500
3 Sc 0.5000 0.0000 0.7500
4 Sc 0.5000 0.5000 0.5000
5 Mn 0.1369 0.7500 0.6250
6 Mn 0.2500 0.1369 0.3750
7 Mn 0.2500 0.3631 0.8750
8 Mn 0.3631 0.7500 0.1250
9 Mn 0.6369 0.2500 0.1250
10 Mn 0.7500 0.6369 0.8750
11 Mn 0.7500 0.8631 0.3750
12 Mn 0.8631 0.2500 0.6250
13 P 0.0000 0.0000 0.5000
14 P 0.0000 0.5000 0.7500
15 P 0.5000 0.0000 0.2500
16 P 0.5000 0.5000 0.0000

---

No. 8
The following is a DFT calculation (PBE) of an optimized crystal structure of ScMn2P.

Computed properties:
E_form ... -0.265 eV/atom
Total magnetic moment ... 4.68 μB per cell
Energy ... -31.14 eV for the cell shown
Theoretical density ... 5.54 Mg/m³
Space-group type ... P4/mmm (123)

Cell lengths 3.8125, 3.8125, 3.8311 Å; angles 90.00, 90.00, 90.00 degrees
Atoms (fractional coordinates):
1 Sc 0.0000 0.0000 0.0000
2 Mn 0.0000 0.5000 0.5000
3 Mn 0.5000 0.0000 0.5000
4 P 0.5000 0.5000 0.0000

---

No. 9
The following is a DFT calculation (PBE) of an optimized crystal structure of ScMn2P.

Computed properties:
E_form ... -0.159 eV/atom
Total magnetic moment ... 4.14 μB per cell
Energy ... -30.72 eV for the cell shown
Theoretical density ... 5.35 Mg/m³
Space-group type ... P2/m (10)

Cell lengths 3.0237, 4.1772, 4.5893 Å; angles 90.00, 95.45, 90.00 degrees
Atoms (fractional coordinates):
1 Sc 0.0000 0.0000 0.0000
2 Mn 0.3437 0.5000 0.7227
3 Mn 0.6563 0.5000 0.2773
4 P 0.5000 0.0000 0.5000

---

No. 10
The following is a DFT calculation (PBE) of an optimized crystal structure of ScMnP2.

Computed properties:
E_form ... -0.408 eV/atom
Total magnetic moment ... 0.00 μB per cell
Energy ... -111.82 eV for the cell shown
Theoretical density ... 4.82 Mg/m³
Space-group type ... Fm-3m (225)

Cell lengths 6.0645, 6.0645, 6.0645 Å; angles 90.00, 90.00, 90.00 degrees
Atoms (fractional coordinates):
1 Sc 0.0000 0.0000 0.0000
2 Sc 0.0000 0.5000 0.5000
3 Sc 0.5000 0.0000 0.5000
4 Sc 0.5000 0.5000 0.0000
5 Mn 0.0000 0.0000 0.5000
6 Mn 0.0000 0.5000 0.0000
7 Mn 0.5000 0.0000 0.0000
8 Mn 0.5000 0.5000 0.5000
9 P 0.2500 0.2500 0.2500
10 P 0.2500 0.2500 0.7500
11 P 0.2500 0.7500 0.2500
12 P 0.2500 0.7500 0.7500
13 P 0.7500 0.2500 0.2500
14 P 0.7500 0.2500 0.7500
15 P 0.7500 0.7500 0.2500
16 P 0.7500 0.7500 0.7500

---

No. 11
The following is a DFT calculation (PBE) of an optimized crystal structure of ScMn2P.

Computed properties:
E_form ... -0.227 eV/atom
Total magnetic moment ... 9.87 μB per cell
Energy ... -61.98 eV for the cell shown
Theoretical density ... 5.48 Mg/m³
Space-group type ... I-4m2 (119)

Cell lengths 3.7530, 3.7530, 7.9992 Å; angles 90.00, 90.00, 90.00 degrees
Atoms (fractional coordinates):
1 Sc 0.0000 0.0000 0.0000
2 Sc 0.5000 0.5000 0.5000
3 Mn 0.0000 0.0000 0.5000
4 Mn 0.0000 0.5000 0.7500
5 Mn 0.5000 0.0000 0.2500
6 Mn 0.5000 0.5000 0.0000
7 P 0.0000 0.5000 0.2500
8 P 0.5000 0.0000 0.7500

---

No. 12
The following is a DFT calculation (PBE) of an optimized crystal structure of ScMn2P2.

Computed properties:
E_form ... -0.495 eV/atom
Total magnetic moment ... 9.81 μB per cell
Energy ... -75.93 eV for the cell shown
Theoretical density ... 5.07 Mg/m³
Space-group type ... P4/mbm (127)

Cell lengths 6.7850, 6.7850, 3.0822 Å; angles 90.00, 90.00, 90.00 degrees
Atoms (fractional coordinates):
1 Sc 0.0000 0.0000 0.0000
2 Sc 0.5000 0.5000 0.0000
3 Mn 0.1404 0.3596 0.5000
4 Mn 0.3596 0.8596 0.5000
5 Mn 0.6404 0.1404 0.5000
6 Mn 0.8596 0.6404 0.5000
7 P 0.1452 0.6452 0.0000
8 P 0.3548 0.1452 0.0000
9 P 0.6452 0.8548 0.0000
10 P 0.8548 0.3548 0.0000

---

No. 13
The following is a DFT calculation (PBE) of an optimized crystal structure of ScMn4P2.

Computed properties:
E_form ... -0.722 eV/atom
Total magnetic moment ... 0.00 μB per cell
Energy ... -117.76 eV for the cell shown
Theoretical density ... 6.33 Mg/m³
Space-group type ... P4_2/mnm (136)

Cell lengths 6.8280, 6.8280, 3.6756 Å; angles 90.00, 90.00, 90.00 degrees
Atoms (fractional coordinates):
1 Sc 0.0000 0.0000 0.0000
2 Sc 0.5000 0.5000 0.5000
3 Mn 0.0867 0.3451 0.5000
4 Mn 0.1549 0.5867 0.0000
5 Mn 0.3451 0.0867 0.5000
6 Mn 0.4133 0.8451 0.0000
7 Mn 0.5867 0.1549 0.0000
8 Mn 0.6549 0.9133 0.5000
9 Mn 0.8451 0.4133 0.0000
10 Mn 0.9133 0.6549 0.5000
11 P 0.2133 0.7867 0.5000
12 P 0.2867 0.2867 0.0000
13 P 0.7133 0.7133 0.0000
14 P 0.7867 0.2133 0.5000

---

No. 14
The following is a DFT calculation (PBE) of an optimized crystal structure of ScMnP2.

Computed properties:
E_form ... -0.656 eV/atom
Total magnetic moment ... 0.00 μB per cell
Energy ... -28.94 eV for the cell shown
Theoretical density ... 4.46 Mg/m³
Space-group type ... Pmmm (47)

Cell lengths 3.4127, 3.7785, 4.6740 Å; angles 90.00, 90.00, 90.00 degrees
Atoms (fractional coordinates):
1 Sc 0.0000 0.0000 0.0000
2 Mn 0.5000 0.0000 0.5000
3 P 0.5000 0.5000 0.2385
4 P 0.5000 0.5000 0.7615

---

No. 15
The following is a DFT calculation (PBE) of an optimized crystal structure of ScMn3P2.

Computed properties:
E_form ... -0.755 eV/atom
Total magnetic moment ... 15.38 μB per cell
Energy ... -147.57 eV for the cell shown
Theoretical density ... 5.67 Mg/m³
Space-group type ... C2/m (12)

Cell lengths 7.7543, 7.7543, 9.2100 Å; angles 106.19, 106.19, 26.76 degrees
Atoms (fractional coordinates):
1 Sc 0.0000 0.0000 0.0000
2 Sc 0.1565 0.1565 0.7003
3 Sc 0.8435 0.8435 0.2997
4 Mn 0.0442 0.0442 0.3454
5 Mn 0.2116 0.2116 0.3941
6 Mn 0.3198 0.3198 0.0244
7 Mn 0.3781 0.3781 0.7888
8 Mn 0.5000 0.5000 0.5000
9 Mn 0.6219 0.6219 0.2112
10 Mn 0.6802 0.6802 0.9756
11 Mn 0.7884 0.7884 0.6059
12 Mn 0.9558 0.9558 0.6546
13 P 0.2015 0.2015 0.1411
14 P 0.3576 0.3576 0.5291
15 P 0.4598 0.4598 0.2126
16 P 0.5402 0.5402 0.7874
17 P 0.6424 0.6424 0.4709
18 P 0.7985 0.7985 0.8589

---

No. 16
The following is a DFT calculation (PBE) of an optimized crystal structure of ScMnP2.

Computed properties:
E_form ... -0.027 eV/atom
Total magnetic moment ... 0.00 μB per cell
Energy ... -105.72 eV for the cell shown
Theoretical density ... 4.84 Mg/m³
Space-group type ... F-43m (216)

Cell lengths 6.0569, 6.0569, 6.0569 Å; angles 90.00, 90.00, 90.00 degrees
Atoms (fractional coordinates):
1 Sc 0.0000 0.0000 0.0000
2 Sc 0.0000 0.5000 0.5000
3 Sc 0.5000 0.0000 0.5000
4 Sc 0.5000 0.5000 0.0000
5 Mn 0.2500 0.2500 0.7500
6 Mn 0.2500 0.7500 0.2500
7 Mn 0.7500 0.2500 0.2500
8 Mn 0.7500 0.7500 0.7500
9 P 0.0000 0.0000 0.5000
10 P 0.0000 0.5000 0.0000
11 P 0.2500 0.2500 0.2500
12 P 0.2500 0.7500 0.7500
13 P 0.5000 0.0000 0.0000
14 P 0.5000 0.5000 0.5000
15 P 0.7500 0.2500 0.7500
16 P 0.7500 0.7500 0.2500

---

No. 17
The following is a DFT calculation (PBE) of an optimized crystal structure of ScMn2P.

Computed properties:
E_form ... -0.288 eV/atom
Total magnetic moment ... 2.25 μB per cell
Energy ... -31.23 eV for the cell shown
Theoretical density ... 5.54 Mg/m³
Space-group type ... P4mm (99)

Cell lengths 2.9326, 2.9326, 6.4787 Å; angles 90.00, 90.00, 90.00 degrees
Atoms (fractional coordinates):
1 Sc 0.0000 0.0000 0.0000
2 Mn 0.0000 0.0000 0.5398
3 Mn 0.5000 0.5000 0.2991
4 P 0.5000 0.5000 0.7008

---

No. 18
The following is a DFT calculation (PBE) of an optimized crystal structure of ScMnP2.

Computed properties:
E_form ... -0.689 eV/atom
Total magnetic moment ... 0.16 μB per cell
Energy ... -58.15 eV for the cell shown
Theoretical density ... 4.55 Mg/m³
Space-group type ... Imm2 (44)

Cell lengths 2.9309, 3.3732, 11.9509 Å; angles 90.00, 90.00, 90.00 degrees
Atoms (fractional coordinates):
1 Sc 0.0000 0.0000 0.0000
2 Sc 0.5000 0.5000 0.5000
3 Mn 0.0000 0.5000 0.7420
4 Mn 0.5000 0.0000 0.2420
5 P 0.0000 0.0000 0.3877
6 P 0.0000 0.5000 0.1674
7 P 0.5000 0.0000 0.6674
8 P 0.5000 0.5000 0.8877

---

No. 19
The following is a DFT calculation (PBE) of an optimized crystal structure of ScMnP2.

Computed properties:
E_form ... -0.488 eV/atom
Total magnetic moment ... 6.90 μB per cell
Energy ... -56.54 eV for the cell shown
Theoretical density ... 4.31 Mg/m³
Space-group type ... C2/m (12)

Cell lengths 5.7838, 6.5402, 3.3480 Å; angles 90.00, 99.82, 90.00 degrees
Atoms (fractional coordinates):
1 Sc 0.0000 0.0000 0.0000
2 Sc 0.5000 0.5000 0.0000
3 Mn 0.0000 0.5000 0.0000
4 Mn 0.5000 0.0000 0.0000
5 P 0.2500 0.2500 0.5000
6 P 0.2500 0.7500 0.5000
7 P 0.7500 0.2500 0.5000
8 P 0.7500 0.7500 0.5000

---

No. 20
The following is a DFT calculation (PBE) of an optimized crystal structure of ScMn2P.

Computed properties:
E_form ... -0.247 eV/atom
Total magnetic moment ... 10.65 μB per cell
Energy ... -62.14 eV for the cell shown
Theoretical density ... 5.36 Mg/m³
Space-group type ... Immm (71)

Cell lengths 3.4654, 4.0252, 8.2564 Å; angles 90.00, 90.00, 90.00 degrees
Atoms (fractional coordinates):
1 Sc 0.0000 0.0000 0.0000
2 Sc 0.5000 0.5000 0.5000
3 Mn 0.0000 0.5000 0.2333
4 Mn 0.0000 0.5000 0.7667
5 Mn 0.5000 0.0000 0.2667
6 Mn 0.5000 0.0000 0.7333
7 P 0.0000 0.0000 0.5000
8 P 0.5000 0.5000 0.0000